1.
Density functional theory data (PBE-GGA) for a geometry-optimized ThMg2Al2Au2 structure.

Cell: 8.986 8.986 8.986 Å, 28.85 28.85 28.85°
Fractional positions:
Th 0.000 0.000 0.000
Mg 0.135 0.135 0.135
Mg 0.865 0.865 0.865
Al 0.255 0.255 0.255
Al 0.745 0.745 0.745
Au 0.416 0.416 0.416
Au 0.584 0.584 0.584

Results
Energy   -27.99 eV for the cell shown
Volume   21.333 Å³/atom
Symmetry   R-3m (166)
Formation energy from the elements   -0.4769 eV per atom

2.
Density functional theory data (PBE-GGA) for a geometry-optimized LiAsOs2 structure.

Cell: 2.939 4.439 4.446 Å, 90.00 90.00 90.00°
Fractional positions:
Li 0.000 0.000 0.000
As 0.500 0.500 0.000
Os 0.000 0.500 0.500
Os 0.500 0.000 0.500

Results
Energy   -27.23 eV for the cell shown
Volume   14.503 Å³/atom
Symmetry   Pmmm (47)
Formation energy from the elements   0.4489 eV per atom

The lowest formation energy from the elements belongs to which entry?
ThMg2Al2Au2

What is the energy in the first record?
-27.99 eV for the cell shown

The highest energy belongs to which entry?
LiAsOs2

energy of number 2 (LiAsOs2)?
-27.23 eV for the cell shown